VASP calculation (GGA-PBE) on a relaxed structure of Nd2Dy2Th15.

The structure in CIF format:
```
data_Nd2Dy2Th15
_space_group_name_H-M_alt 'R -3 m'
_space_group_IT_number 166
_space_group_name_Hall '-R 3 2"'
_cell_length_a 11.5218
_cell_length_b 11.5218
_cell_length_c 17.1365
_cell_angle_alpha 90.00
_cell_angle_beta 90.00
_cell_angle_gamma 120.00
loop_
_atom_site_label
_atom_site_fract_x
_atom_site_fract_y
_atom_site_fract_z
_atom_site_occupancy
Nd1 0.0000 0.0000 0.1585 1
Dy1 0.0000 0.0000 0.3992 1
Th1 0.0000 0.3035 0.5000 1
Th2 0.0000 0.5000 0.0000 1
Th3 0.0131 0.5066 0.6616 1
```

Summary:
The uncorrected energy is -6.57 eV per atom. The value obtained for the total magnetic moment is 0.00 μB per cell. The value obtained for the formation energy is 5.2 eV per formula unit.